1 | BeAs2IBr after structural relaxation, computed with PBE-GGA. Values from VASP.

Structure (Quantum ESPRESSO input):
```
&SYSTEM
  ibrav = 0, nat = 5, ntyp = 4
/
ATOMIC_SPECIES
I 126.90 I.upf
Be 9.01 Be.upf
As 74.92 As.upf
Br 79.90 Br.upf
ATOMIC_POSITIONS crystal
I 0.5000 0.5000 0.5000
Be 0.0000 0.0000 0.0000
As 0.0000 0.5000 0.0000
As 0.5000 0.0000 0.0000
Br 0.0000 0.0000 0.5000
CELL_PARAMETERS angstrom
4.8724 0.0000 0.0000
0.0000 4.8724 0.0000
0.0000 0.0000 4.6218
```

2 | BeAs2IBr after structural relaxation, computed with PBE-GGA. Values from VASP.

Structure (Quantum ESPRESSO input):
```
&SYSTEM
  ibrav = 0, nat = 5, ntyp = 4
/
ATOMIC_SPECIES
I 126.90 I.upf
Be 9.01 Be.upf
As 74.92 As.upf
Br 79.90 Br.upf
ATOMIC_POSITIONS crystal
I 0.0000 0.0000 0.0000
Be 0.5000 0.5000 0.5000
As 0.0000 0.5000 0.0000
As 0.5000 0.0000 0.0000
Br 0.0000 0.0000 0.5000
CELL_PARAMETERS angstrom
-3.1861 4.2806 1.3876
-2.5369 -0.3045 -4.8859
-3.8701 -3.6047 2.2341
```

Sorted by energy, starting with the most stable: 1, 2.

1 | BeAsIrBr2 after structural relaxation, computed with PBE-GGA. Values from VASP.

Structure (Quantum ESPRESSO input):
```
&SYSTEM
  ibrav = 0, nat = 5, ntyp = 4
/
ATOMIC_SPECIES
Be 9.01 Be.upf
As 74.92 As.upf
Ir 192.22 Ir.upf
Br 79.90 Br.upf
ATOMIC_POSITIONS crystal
Be 0.0000 0.0000 0.0000
As 0.0000 0.0000 0.5000
Ir 0.5000 0.5000 0.5000
Br 0.0000 0.5000 0.0000
Br 0.5000 0.0000 0.0000
CELL_PARAMETERS angstrom
-2.5776 1.8963 -3.2702
-0.4942 -4.0932 -1.9840
-3.7831 -0.7716 2.5344
```

2 | BeAsIrBr2 after structural relaxation, computed with PBE-GGA. Values from VASP.

Structure (Quantum ESPRESSO input):
```
&SYSTEM
  ibrav = 0, nat = 5, ntyp = 4
/
ATOMIC_SPECIES
Be 9.01 Be.upf
As 74.92 As.upf
Ir 192.22 Ir.upf
Br 79.90 Br.upf
ATOMIC_POSITIONS crystal
Be 0.5000 0.5000 0.5000
As 0.0000 0.0000 0.5000
Ir 0.0000 0.0000 0.0000
Br 0.0000 0.5000 0.0000
Br 0.5000 0.0000 0.0000
CELL_PARAMETERS angstrom
5.2976 0.0000 0.0000
0.0000 5.2976 0.0000
0.0000 0.0000 4.6283
```

Sorted by energy, starting with the most stable: 2, 1.

1 | LaBeAsBr2 after structural relaxation, computed with PBE-GGA. Values from VASP.

Structure (Quantum ESPRESSO input):
```
&SYSTEM
  ibrav = 0, nat = 5, ntyp = 4
/
ATOMIC_SPECIES
Be 9.01 Be.upf
As 74.92 As.upf
Br 79.90 Br.upf
La 138.91 La.upf
ATOMIC_POSITIONS crystal
Be 0.0000 0.0000 0.0000
As 0.0000 0.0000 0.5000
Br 0.0000 0.5000 0.0000
Br 0.5000 0.0000 0.0000
La 0.5000 0.5000 0.5000
CELL_PARAMETERS angstrom
-2.2667 -1.2823 3.9288
1.9041 -4.3010 -0.3052
4.0313 1.5830 2.8425
```

2 | LaBeAsBr2 after structural relaxation, computed with PBE-GGA. Values from VASP.

Structure (Quantum ESPRESSO input):
```
&SYSTEM
  ibrav = 0, nat = 5, ntyp = 4
/
ATOMIC_SPECIES
Be 9.01 Be.upf
As 74.92 As.upf
Br 79.90 Br.upf
La 138.91 La.upf
ATOMIC_POSITIONS crystal
Be 0.5000 0.5000 0.5000
As 0.0000 0.0000 0.5000
Br 0.0000 0.5000 0.0000
Br 0.5000 0.0000 0.0000
La 0.0000 0.0000 0.0000
CELL_PARAMETERS angstrom
-0.5235 2.7327 5.0445
3.1334 -4.1071 2.5500
5.0164 3.1057 -1.1618
```

Sorted by energy, starting with the most stable: 1, 2.

1 | MgBeAsBr2 after structural relaxation, computed with PBE-GGA. Values from VASP.

Structure (Quantum ESPRESSO input):
```
&SYSTEM
  ibrav = 0, nat = 5, ntyp = 4
/
ATOMIC_SPECIES
Be 9.01 Be.upf
As 74.92 As.upf
Mg 24.30 Mg.upf
Br 79.90 Br.upf
ATOMIC_POSITIONS crystal
Be 0.0000 0.0000 0.0000
As 0.0000 0.0000 0.5000
Mg 0.5000 0.5000 0.5000
Br 0.0000 0.5000 0.0000
Br 0.5000 0.0000 0.0000
CELL_PARAMETERS angstrom
4.7840 0.0000 0.0000
0.0000 4.7840 0.0000
0.0000 0.0000 4.8710
```

2 | MgBeAsBr2 after structural relaxation, computed with PBE-GGA. Values from VASP.

Structure (Quantum ESPRESSO input):
```
&SYSTEM
  ibrav = 0, nat = 5, ntyp = 4
/
ATOMIC_SPECIES
Be 9.01 Be.upf
As 74.92 As.upf
Mg 24.30 Mg.upf
Br 79.90 Br.upf
ATOMIC_POSITIONS crystal
Be 0.5000 0.5000 0.5000
As 0.0000 0.0000 0.5000
Mg 0.0000 0.0000 0.0000
Br 0.0000 0.5000 0.0000
Br 0.5000 0.0000 0.0000
CELL_PARAMETERS angstrom
5.0840 0.0000 0.0000
0.0000 5.0840 0.0000
0.0000 0.0000 5.5531
```

Sorted by energy, starting with the most stable: 1, 2.

1 | BeMoAs2Br after structural relaxation, computed with PBE-GGA. Values from VASP.

Structure (Quantum ESPRESSO input):
```
&SYSTEM
  ibrav = 0, nat = 5, ntyp = 4
/
ATOMIC_SPECIES
Be 9.01 Be.upf
Mo 95.94 Mo.upf
As 74.92 As.upf
Br 79.90 Br.upf
ATOMIC_POSITIONS crystal
Be 0.0000 0.0000 0.0000
Mo 0.5000 0.5000 0.5000
As 0.0000 0.5000 0.0000
As 0.5000 0.0000 0.0000
Br 0.0000 0.0000 0.5000
CELL_PARAMETERS angstrom
4.4222 0.0000 0.0000
0.0000 4.4222 0.0000
0.0000 0.0000 4.9636
```

2 | BeMoAs2Br after structural relaxation, computed with PBE-GGA. Values from VASP.

Structure (Quantum ESPRESSO input):
```
&SYSTEM
  ibrav = 0, nat = 5, ntyp = 4
/
ATOMIC_SPECIES
Be 9.01 Be.upf
Mo 95.94 Mo.upf
As 74.92 As.upf
Br 79.90 Br.upf
ATOMIC_POSITIONS crystal
Be 0.5000 0.5000 0.5000
Mo 0.0000 0.0000 0.0000
As 0.0000 0.5000 0.0000
As 0.5000 0.0000 0.0000
Br 0.0000 0.0000 0.5000
CELL_PARAMETERS angstrom
-4.1350 1.4175 -2.0418
1.8571 -0.8724 -4.3666
-1.8445 -5.0555 0.2256
```

Sorted by energy, starting with the most stable: 2, 1.

1 | BeNbAsBr2 after structural relaxation, computed with PBE-GGA. Values from VASP.

Structure (Quantum ESPRESSO input):
```
&SYSTEM
  ibrav = 0, nat = 5, ntyp = 4
/
ATOMIC_SPECIES
Be 9.01 Be.upf
Nb 92.91 Nb.upf
As 74.92 As.upf
Br 79.90 Br.upf
ATOMIC_POSITIONS crystal
Be 0.5000 0.5000 0.5000
Nb 0.0000 0.0000 0.0000
As 0.0000 0.0000 0.5000
Br 0.0000 0.5000 0.0000
Br 0.5000 0.0000 0.0000
CELL_PARAMETERS angstrom
-2.3078 -1.9470 -4.1965
-3.7780 -1.9133 2.9654
-2.6376 4.3374 -0.5619
```

2 | BeNbAsBr2 after structural relaxation, computed with PBE-GGA. Values from VASP.

Structure (Quantum ESPRESSO input):
```
&SYSTEM
  ibrav = 0, nat = 5, ntyp = 4
/
ATOMIC_SPECIES
Be 9.01 Be.upf
Nb 92.91 Nb.upf
As 74.92 As.upf
Br 79.90 Br.upf
ATOMIC_POSITIONS crystal
Be 0.0000 0.0000 0.0000
Nb 0.5000 0.5000 0.5000
As 0.0000 0.0000 0.5000
Br 0.0000 0.5000 0.0000
Br 0.5000 0.0000 0.0000
CELL_PARAMETERS angstrom
-0.7559 3.8449 2.4620
-0.5157 -2.5515 3.8262
4.6952 0.3630 0.8748
```

Sorted by energy, starting with the most stable: 1, 2.